[1]
{
  "formula": "Mn2BeHg",
  "functional": "PBE-GGA",
  "state": "optimized geometry",
  "ef_mev_per_atom": 228,
  "volume_a3_per_atom": 12.954,
  "mass_density_g_cm3": 10.2,
  "cell": [[-1.070, 2.111, -1.570], [-1.863, 0.589, 2.062], [4.199, 4.084, 2.629]],
  "species": ["Be", "Mn", "Mn", "Hg"],
  "frac_coords": [[0.000, 0.000, 0.449], [0.000, 0.000, 0.059], [0.500, 0.500, 0.258], [0.500, 0.500, 0.735]]
}

=====

[2]
{
  "formula": "Ca3PrHg2",
  "functional": "PBE-GGA",
  "state": "optimized geometry",
  "ef_mev_per_atom": -373,
  "volume_a3_per_atom": 31.271,
  "mass_density_g_cm3": 5.9,
  "cell": [[5.159, 0.000, 0.000], [0.000, 7.383, 0.000], [0.000, 0.000, 9.852]],
  "species": ["Ca", "Ca", "Ca", "Ca", "Ca", "Ca", "Pr", "Pr", "Hg", "Hg", "Hg", "Hg"],
  "frac_coords": [[0.000, 0.470, 0.931], [0.000, 0.970, 0.069], [0.500, 0.657, 0.182], [0.500, 0.157, 0.818], [0.000, 0.344, 0.314], [0.000, 0.844, 0.686], [0.500, 0.529, 0.562], [0.500, 0.029, 0.438], [0.500, 0.731, 0.863], [0.500, 0.231, 0.137], [0.000, 0.268, 0.630], [0.000, 0.768, 0.370]]
}